A plane-wave DFT calculation with PBE was carried out for an optimized crystal structure of Sr2DySn3Pt4.

Unit cell a=4.6759 b=4.6759 c=11.1603 alpha=90.00 beta=90.00 gamma=90.00
With the nearest neighbours (Å) after each atom.
Atoms (fractional coordinates):
Sr 0.0000 0.5000 0.2290  8 Pt 3.46-3.61, 6 Sn 3.52-3.82, 2 Dy 3.82
Sr 0.5000 0.0000 0.7710  8 Pt 3.46-3.61, 6 Sn 3.52-3.82, 2 Dy 3.82
Dy 0.0000 0.0000 0.5000  4 Pt 2.82
Sn 0.0000 0.5000 0.8792  5 Pt 2.65-2.70
Sn 0.5000 0.0000 0.1208  5 Pt 2.65-2.70
Sn 0.5000 0.5000 0.5000  4 Pt 2.82
Pt 0.0000 0.0000 0.0000  4 Sn 2.70
Pt 0.0000 0.5000 0.6416  3 Sn 2.65-2.82, 2 Dy 2.82
Pt 0.5000 0.0000 0.3584  3 Sn 2.65-2.82, 2 Dy 2.82
Pt 0.5000 0.5000 0.0000  4 Sn 2.70

Results
* formation enthalpy at 0 K: -0.883 eV/atom
* D(E_F): 4.357 states/eV per cell
* symmetry: P-4m2

A plane-wave DFT calculation with PBE was carried out for an optimized crystal structure of AuSBr2.

Unit cell a=7.1327 b=7.1327 c=7.1327 alpha=90.00 beta=90.00 gamma=90.00
With the nearest neighbours (Å) after each atom.
Atoms (fractional coordinates):
Au 0.0000 0.0000 0.0000  8 Br 3.09
Au 0.0000 0.5000 0.5000  8 Br 3.09
Au 0.5000 0.0000 0.5000  8 Br 3.09
Au 0.5000 0.5000 0.0000  8 Br 3.09
S 0.0000 0.0000 0.5000  8 Br 3.09
S 0.0000 0.5000 0.0000  8 Br 3.09
S 0.5000 0.0000 0.0000  8 Br 3.09
S 0.5000 0.5000 0.5000  8 Br 3.09
Br 0.2500 0.2500 0.2500  4 Au 3.09, 4 S 3.09
Br 0.2500 0.2500 0.7500  4 S 3.09, 4 Au 3.09
Br 0.2500 0.7500 0.2500  4 S 3.09, 4 Au 3.09
Br 0.2500 0.7500 0.7500  4 Au 3.09, 4 S 3.09
Br 0.7500 0.2500 0.2500  4 S 3.09, 4 Au 3.09
Br 0.7500 0.2500 0.7500  4 Au 3.09, 4 S 3.09
Br 0.7500 0.7500 0.2500  4 Au 3.09, 4 S 3.09
Br 0.7500 0.7500 0.7500  4 S 3.09, 4 Au 3.09

Results
* ΔE_f (raw): 829.2 meV/atom
* excess energy over the best structure of this formula in the dataset: 438 meV/atom
* D(E_F): 15.006 states/eV per cell
* symmetry: Fm-3m

Number 1: VASP energy -0.1946 hartree per atom. Number 2: VASP energy -0.0683 hartree per atom.